Entry from the Alexandria database: a PBEsol-optimized structure of CdCoTc2 (meta-GGA SCAN).

Lattice parameters (Å, degrees): 3.648 3.648 4.222 90.00 90.00 90.00
Sites, in units of the cell vectors:
Cd1 0.000 0.000 0.000
Co1 0.500 0.500 0.000
Tc1 0.000 0.500 0.500
Tc2 0.500 0.000 0.500

Energy: -115.9 eV per cell
ΔE_f: 484 meV/atom
Total moment: 1.529 Bohr magnetons per cell